Here is a relaxed structure of ZnCrS2 from the Alexandria database. Energies are from PBE-GGA.

Cell lengths 5.498, 5.498, 6.668 Å; angles 65.65, 65.65, 90.00 degrees
Element x y z (fractional)
Cr  0.500  0.500  0.000
Cr  0.250  0.750  0.500
Zn  0.000  0.000  0.000
Zn  0.750  0.250  0.500
S  0.628  0.125  0.250
S  0.122  0.625  0.250
S  0.375  0.372  0.750
S  0.875  0.878  0.750

Raw formation energy = -206 kJ/mol of formula units
Theoretical density = 3.682 g cm⁻³
Total magnetic moment = 4.0 μB/f.u.
Electronic total energy = -42.6 eV for the cell shown

***

Here is a relaxed structure of ZnCr4S8 from the Alexandria database. Energies are from PBE-GGA.

Cell lengths 6.943, 6.943, 6.943 Å; angles 59.78, 59.78, 59.78 degrees
Element x y z (fractional)
Zn  0.000  0.000  0.000
Cr  0.500  0.500  0.500
Cr  0.500  0.000  0.500
Cr  0.000  0.500  0.500
Cr  0.500  0.500  0.000
S  0.731  0.255  0.255
S  0.255  0.731  0.255
S  0.255  0.255  0.731
S  0.257  0.257  0.257
S  0.743  0.743  0.743
S  0.745  0.269  0.745
S  0.745  0.745  0.269
S  0.269  0.745  0.745

Raw formation energy = -712 kJ/mol of formula units
E above lowest polymorph = 15 kJ/mol of formula units
Theoretical density = 3.737 g cm⁻³
Total magnetic moment = 10.0 μB/f.u.
Electronic total energy = -80.2 eV for the cell shown

***

Here is a relaxed structure of Zn3CrS from the Alexandria database. Energies are from PBE-GGA.

Cell lengths 4.899, 4.899, 4.899 Å; angles 90.00, 90.00, 90.00 degrees
Element x y z (fractional)
Cr  0.000  0.000  0.000
Zn  0.000  0.500  0.000
Zn  0.000  0.000  0.500
Zn  0.500  0.000  0.000
S  0.500  0.500  0.500

Raw formation energy = 422 kJ/mol of formula units
E above lowest polymorph = 78 kJ/mol of formula units
Theoretical density = 3.958 g cm⁻³
Total magnetic moment = 4.0 μB/f.u.
Electronic total energy = -13.2 eV for the cell shown

***

Here is a relaxed structure of ZrCrS from the Alexandria database. Energies are from PBE-GGA.

Cell lengths 3.336, 3.336, 9.498 Å; angles 90.00, 90.00, 90.00 degrees
Element x y z (fractional)
Zr  0.000  0.500  0.630
Zr  0.500  0.000  0.370
S  0.500  0.000  0.726
S  0.000  0.500  0.274
Cr  0.000  0.500  0.039
Cr  0.500  0.000  0.961

Raw formation energy = -129 kJ/mol of formula units
Theoretical density = 5.506 g cm⁻³
Total magnetic moment = 0.0 μB/f.u.
Electronic total energy = -47.3 eV for the cell shown

***

Here is a relaxed structure of Zr2CrS from the Alexandria database. Energies are from PBE-GGA.

Cell lengths 5.539, 5.539, 7.576 Å; angles 68.56, 68.56, 90.00 degrees
Element x y z (fractional)
Cr  0.000  0.000  0.000
Cr  0.750  0.250  0.500
S  0.500  0.500  0.000
S  0.250  0.750  0.500
Zr  0.614  0.125  0.250
Zr  0.136  0.625  0.250
Zr  0.375  0.386  0.750
Zr  0.875  0.864  0.750

Raw formation energy = 165 kJ/mol of formula units
Theoretical density = 4.449 g cm⁻³
Total magnetic moment = 3.0 μB/f.u.
Electronic total energy = -58.3 eV for the cell shown

***

Here is a relaxed structure of ZrCrS4 from the Alexandria database. Energies are from PBE-GGA.

Cell lengths 7.041, 7.041, 7.041 Å; angles 120.88, 116.93, 91.94 degrees
Element x y z (fractional)
Zr  0.000  0.000  0.000
Zr  0.500  0.000  0.500
Cr  0.500  0.000  0.000
Cr  0.500  0.500  0.500
S  0.254  0.261  0.507
S  0.746  0.253  0.007
S  0.712  0.741  0.971
S  0.270  0.741  0.529
S  0.288  0.259  0.029
S  0.730  0.259  0.471
S  0.746  0.739  0.493
S  0.254  0.747  0.993

Raw formation energy = -556 kJ/mol of formula units
E above lowest polymorph = 0 kJ/mol of formula units
Theoretical density = 3.600 g cm⁻³
Total magnetic moment = 2.0 μB/f.u.
Electronic total energy = -80.9 eV for the cell shown

***

Here is a relaxed structure of ZrCrS2 from the Alexandria database. Energies are from PBE-GGA.

Cell lengths 4.453, 4.453, 4.453 Å; angles 60.00, 60.00, 60.00 degrees
Element x y z (fractional)
Cr  0.000  0.000  0.000
S  0.250  0.250  0.250
S  0.750  0.750  0.750
Zr  0.500  0.500  0.500

Raw formation energy = -271 kJ/mol of formula units
E above lowest polymorph = 18 kJ/mol of formula units
Theoretical density = 5.514 g cm⁻³
Total magnetic moment = 2.9 μB/f.u.
Electronic total energy = -29.2 eV for the cell shown

***

Here is a relaxed structure of Zr2CrS4 from the Alexandria database. Energies are from PBE-GGA.

Cell lengths 3.552, 6.189, 6.982 Å; angles 116.21, 104.74, 90.00 degrees
Element x y z (fractional)
Zr  0.743  0.749  0.486
Zr  0.257  0.251  0.514
Cr  0.000  0.000  0.000
S  0.884  0.208  0.769
S  0.116  0.792  0.231
S  0.618  0.278  0.236
S  0.382  0.722  0.764

Raw formation energy = -882 kJ/mol of formula units
Theoretical density = 4.561 g cm⁻³
Total magnetic moment = 3.2 μB/f.u.
Electronic total energy = -52.4 eV for the cell shown

***

Here is a relaxed structure of ZrCrS4 from the Alexandria database. Energies are from PBE-GGA.

Cell lengths 6.056, 6.037, 6.142 Å; angles 90.00, 92.92, 90.00 degrees
Element x y z (fractional)
Zr  0.000  0.000  0.000
Zr  0.500  0.500  0.000
Cr  0.500  0.000  0.500
Cr  0.000  0.500  0.500
S  0.873  0.636  0.160
S  0.627  0.136  0.840
S  0.344  0.353  0.371
S  0.156  0.853  0.629
S  0.127  0.364  0.840
S  0.373  0.864  0.160
S  0.656  0.647  0.629
S  0.844  0.147  0.371

Raw formation energy = -450 kJ/mol of formula units
E above lowest polymorph = 106 kJ/mol of formula units
Theoretical density = 4.020 g cm⁻³
Total magnetic moment = 2.1 μB/f.u.
Electronic total energy = -78.7 eV for the cell shown

***

Here is a relaxed structure of ZrCrS2 from the Alexandria database. Energies are from PBE-GGA.

Cell lengths 5.612, 5.612, 6.838 Å; angles 65.77, 65.77, 90.00 degrees
Element x y z (fractional)
Cr  0.500  0.500  0.000
Cr  0.250  0.750  0.500
S  0.604  0.125  0.250
S  0.146  0.625  0.250
S  0.375  0.396  0.750
S  0.875  0.854  0.750
Zr  0.000  0.000  0.000
Zr  0.750  0.250  0.500

Raw formation energy = -277 kJ/mol of formula units
E above lowest polymorph = 12 kJ/mol of formula units
Theoretical density = 3.926 g cm⁻³
Total magnetic moment = 3.8 μB/f.u.
Electronic total energy = -58.6 eV for the cell shown

***

Here is a relaxed structure of ZrCrS2 from the Alexandria database. Energies are from PBE-GGA.

Cell lengths 8.391, 8.391, 8.391 Å; angles 21.02, 21.02, 21.02 degrees
Element x y z (fractional)
Cr  0.500  0.500  0.500
S  0.894  0.894  0.894
S  0.106  0.106  0.106
Zr  0.000  0.000  0.000

Raw formation energy = -158 kJ/mol of formula units
E above lowest polymorph = 131 kJ/mol of formula units
Theoretical density = 5.170 g cm⁻³
Total magnetic moment = 0.0 μB/f.u.
Electronic total energy = -28.1 eV for the cell shown

***

Here is a relaxed structure of ZrCrS2 from the Alexandria database. Energies are from PBE-GGA.

Cell lengths 8.122, 8.122, 8.122 Å; angles 25.49, 25.49, 25.49 degrees
Element x y z (fractional)
Cr  0.000  0.000  0.000
S  0.900  0.900  0.900
S  0.100  0.100  0.100
Zr  0.500  0.500  0.500

Raw formation energy = -289 kJ/mol of formula units
E above lowest polymorph = 0 kJ/mol of formula units
Theoretical density = 3.941 g cm⁻³
Total magnetic moment = 4.7 μB/f.u.
Electronic total energy = -29.4 eV for the cell shown